(1)
# Sr6Rh2Pb

Crystalline Sr6Rh2Pb at its relaxed geometry (PBE, the Alexandria database). Values from VASP.

Calculated values
Space-group type: No. 71

Geometry as Quantum ESPRESSO input:
```
&SYSTEM
  ibrav = 0, nat = 18, ntyp = 3
/
ATOMIC_SPECIES
Sr 87.62 Sr.upf
Rh 102.91 Rh.upf
Pb 207.20 Pb.upf
ATOMIC_POSITIONS angstrom
Sr -1.738 -2.836 -0.852
Sr -5.797 -6.738 1.367
Sr -5.391 3.162 -4.301
Rh 0.107 -1.962 -3.253
Pb 0.000 0.000 0.000
Sr -5.777 -0.630 -3.422
Sr -7.525 -3.112 1.629
Rh 0.188 -3.443 -5.711
Pb -3.828 -3.681 2.093
Sr -1.718 3.272 -5.641
Sr -4.919 -0.607 0.204
Sr -2.124 -6.628 0.027
Sr -2.172 0.713 -2.718
Rh -2.796 -5.533 -2.873
Sr 0.009 -0.354 -5.903
Sr -2.596 -2.859 -4.478
Sr -5.344 -4.179 -1.556
Rh -4.719 2.066 -1.401
CELL_PARAMETERS angstrom
0.141 3.895 -8.460
0.155 -9.300 -0.504
-7.811 1.939 4.690
```

=====

(2)
# TbSm3Co

Crystalline TbSm3Co at its relaxed geometry (PBE, the Alexandria database). Values from VASP.

Calculated values
Space-group type: No. 221
Excess energy over the best structure of this formula in the dataset: 10.3 kJ per mole of atoms

Geometry as Quantum ESPRESSO input:
```
&SYSTEM
  ibrav = 0, nat = 5, ntyp = 3
/
ATOMIC_SPECIES
Sm 150.36 Sm.upf
Tb 158.93 Tb.upf
Co 58.93 Co.upf
ATOMIC_POSITIONS angstrom
Sm -2.069 -1.701 0.244
Sm -0.829 1.323 2.190
Tb -1.394 -1.988 3.976
Co 0.000 0.000 0.000
Sm 1.505 -1.610 1.542
CELL_PARAMETERS angstrom
-4.139 -3.402 0.487
3.010 -3.220 3.084
-1.659 2.645 4.380
```

=====

(3)
# Hg3OsRh

Crystalline Hg3OsRh at its relaxed geometry (PBE, the Alexandria database). Values from VASP.

Calculated values
Space-group type: No. 221

Geometry as Quantum ESPRESSO input:
```
&SYSTEM
  ibrav = 0, nat = 5, ntyp = 3
/
ATOMIC_SPECIES
Rh 102.91 Rh.upf
Hg 200.59 Hg.upf
Os 190.23 Os.upf
ATOMIC_POSITIONS angstrom
Rh 0.000 0.000 0.000
Hg 0.000 0.000 2.578
Hg 0.000 2.578 0.000
Hg 2.578 0.000 0.000
Os 2.578 2.578 2.578
CELL_PARAMETERS angstrom
5.156 0.000 0.000
0.000 5.156 0.000
0.000 0.000 5.156
```

=====

Calculated N(E_F) (states/eV/f.u.), listed in the same order as above: 5.83 8.95 6.91
Calculated size of the total moment (μB per formula unit), listed in the same order as above: 0.98 0.82 3.97
Calculated VASP energy (eV/atom), listed in the same order as above: -3.470 -5.106 -2.382